[1]
VASP calculation (GGA-PBE) on crystalline Ga2CuAu3 at its relaxed geometry.

Cell lengths 2.9120, 6.4255, 6.9550 Å; angles 117.51, 102.08, 90.00 degrees
Last column: nearest neighbours and their distance in Å.
Fractional positions:
Ga  0.6991  0.3889  0.3982  1 Cu 2.43, 2 Au 2.64
Ga  0.3009  0.9907  0.6018  1 Cu 2.43, 2 Au 2.64
Cu  0.5000  0.2585  0.0000  2 Ga 2.43, 4 Au 2.62-2.63
Au  0.3749  0.4680  0.7497  1 Cu 2.62, 3 Ga 2.64-2.74, 2 Au 2.91
Au  0.0000  0.9185  0.0000  2 Cu 2.63, 2 Au 2.91
Au  0.6251  0.7183  0.2503  1 Cu 2.62, 3 Ga 2.64-2.74, 2 Au 2.91

SG: Imm2
polymorph energy (0 for the lowest one): 0.108 eV/atom
energy of formation: -25 meV/atom


[2]
VASP calculation (GGA-PBE) on crystalline Ga5Cu12Au2 at its relaxed geometry.

Cell lengths 5.2098, 7.3948, 8.2658 Å; angles 105.36, 90.00, 110.63 degrees
Last column: nearest neighbours and their distance in Å.
Fractional positions:
Cu  0.1332  0.2663  0.3253  4 Cu 2.54-2.64, 3 Ga 2.64-2.73
Cu  0.4443  0.4104  0.1176  3 Ga 2.45-2.53, 5 Cu 2.49-2.72, 1 Au 2.73
Ga  0.3669  0.7339  0.1337  7 Cu 2.39-2.55
Ga  0.6947  0.3893  0.3660  7 Cu 2.43-2.57
Cu  0.5185  0.0370  0.3624  2 Ga 2.39-2.43, 3 Cu 2.47-2.63
Cu  0.4815  0.9630  0.6376  2 Ga 2.39-2.43, 3 Cu 2.47-2.63
Ga  0.3053  0.6107  0.6340  7 Cu 2.43-2.57
Cu  0.5557  0.5896  0.8824  3 Ga 2.45-2.53, 5 Cu 2.49-2.72, 1 Au 2.73
Ga  0.0000  0.0000  0.5000  6 Cu 2.43-2.64
Cu  0.8911  0.3011  0.6071  4 Ga 2.43-2.57, 5 Cu 2.51-2.70
Cu  0.9661  0.4104  0.1176  3 Ga 2.45-2.53, 5 Cu 2.49-2.72, 1 Au 2.73
Au  0.7534  0.0000  0.0000  2 Au 2.57-2.64, 2 Cu 2.73, 2 Ga 2.74
Au  0.2466  0.0000  0.0000  2 Au 2.57-2.64, 2 Cu 2.73, 2 Ga 2.74
Ga  0.6331  0.2661  0.8663  7 Cu 2.39-2.55
Cu  0.4100  0.3011  0.6071  4 Ga 2.43-2.57, 5 Cu 2.51-2.70
Cu  0.0339  0.5896  0.8824  3 Ga 2.45-2.53, 5 Cu 2.49-2.72, 1 Au 2.73
Cu  0.8668  0.7337  0.6747  4 Cu 2.54-2.64, 3 Ga 2.64-2.73
Cu  0.1089  0.6989  0.3929  4 Ga 2.43-2.57, 5 Cu 2.51-2.70
Cu  0.5900  0.6989  0.3929  4 Ga 2.43-2.57, 5 Cu 2.51-2.70

SG: C2/m
energy of formation: 53 meV/atom


[3]
VASP calculation (GGA-PBE) on crystalline GaCu2Au at its relaxed geometry.

Cell lengths 4.3021, 4.3021, 4.3703 Å; angles 60.51, 60.51, 60.00 degrees
Last column: nearest neighbours and their distance in Å.
Fractional positions:
Cu  0.2524  0.2524  0.2427  4 Cu 2.63-2.73, 4 Au 2.65-2.67
Ga  0.7478  0.7478  0.7565  4 Cu 2.63-2.72, 4 Au 2.65-2.67
Cu  0.9997  0.9997  0.0010  4 Cu 2.63-2.73, 4 Ga 2.63-2.72
Au  0.5001  0.5001  0.4998  4 Ga 2.65-2.67, 4 Cu 2.65-2.67

SG: R3m
energy of formation: -67 meV/atom


[4]
VASP calculation (GGA-PBE) on crystalline GaCuAu3 at its relaxed geometry.

Cell lengths 4.7423, 4.7001, 7.7994 Å; angles 88.28, 73.03, 83.26 degrees
Last column: nearest neighbours and their distance in Å.
Fractional positions:
Ga  0.3033  0.3699  0.0039  1 Cu 2.65, 8 Au 2.73-2.88
Au  0.3055  0.8544  0.1881  2 Cu 2.71-2.75, 2 Ga 2.73-2.78, 5 Au 2.85-2.95
Cu  0.9016  0.8142  0.0089  1 Ga 2.65, 8 Au 2.71-2.86
Au  0.9118  0.3151  0.8081  4 Ga 2.75-2.88, 4 Cu 2.79-2.85, 3 Au 2.85-3.02
Au  0.1056  0.3343  0.4264  2 Cu 2.71-2.75, 2 Ga 2.73-2.78, 5 Au 2.85-2.95
Ga  0.1079  0.8190  0.6104  1 Cu 2.65, 8 Au 2.73-2.88
Cu  0.5094  0.3746  0.6060  1 Ga 2.65, 8 Au 2.71-2.85
Au  0.6928  0.8544  0.4222  2 Cu 2.73-2.79, 2 Ga 2.76-2.77, 6 Au 2.83-3.04
Au  0.4994  0.8737  0.8064  4 Ga 2.75-2.88, 4 Cu 2.78-2.86, 3 Au 2.85-3.02
Au  0.7183  0.3343  0.1923  2 Cu 2.73-2.79, 2 Ga 2.76-2.77, 6 Au 2.83-3.04

SG: P-1
polymorph energy (0 for the lowest one): 0.000 eV/atom
energy of formation: -93 meV/atom


[5]
VASP calculation (GGA-PBE) on crystalline Ga2CuAu3 at its relaxed geometry.

Cell lengths 3.4984, 5.3754, 10.8480 Å; angles 90.00, 90.00, 90.00 degrees
Last column: nearest neighbours and their distance in Å.
Fractional positions:
Au  0.5000  0.1321  0.5000  2 Cu 2.69, 4 Ga 2.70, 4 Au 3.00
Ga  0.0000  0.3548  0.6536  6 Au 2.59-2.79, 2 Cu 2.84
Ga  0.5000  0.6452  0.1536  6 Au 2.59-2.79, 2 Cu 2.84
Au  0.5000  0.1640  0.1694  4 Ga 2.59-2.79, 2 Cu 2.76
Au  0.0000  0.8679  0.0000  2 Cu 2.69, 4 Ga 2.70, 4 Au 3.00
Au  0.5000  0.1640  0.8306  4 Ga 2.59-2.79, 2 Cu 2.76
Ga  0.5000  0.6452  0.8464  6 Au 2.59-2.79, 2 Cu 2.84
Cu  0.5000  0.6318  0.5000  6 Au 2.69-2.76, 4 Ga 2.84
Ga  0.0000  0.3548  0.3464  6 Au 2.59-2.79, 2 Cu 2.84
Cu  0.0000  0.3682  0.0000  6 Au 2.69-2.76, 4 Ga 2.84
Au  0.0000  0.8360  0.6694  4 Ga 2.59-2.79, 2 Cu 2.76
Au  0.0000  0.8360  0.3306  4 Ga 2.59-2.79, 2 Cu 2.76

SG: Pmmn
polymorph energy (0 for the lowest one): 0.000 eV/atom
energy of formation: -133 meV/atom


[6]
VASP calculation (GGA-PBE) on crystalline Ga2Cu9Au3 at its relaxed geometry.

Cell lengths 3.9824, 7.3236, 7.3236 Å; angles 83.85, 74.22, 74.22 degrees
Last column: nearest neighbours and their distance in Å.
Fractional positions:
Au  0.0000  0.0000  0.0000  8 Cu 2.68, 2 Au 2.86
Au  0.2818  0.7182  0.7182  2 Ga 2.70, 6 Cu 2.80-2.98, 1 Au 2.86
Cu  0.1488  0.1285  0.5739  4 Cu 2.44-2.65, 2 Ga 2.58
Ga  0.5000  0.6587  0.3413  8 Cu 2.50-2.58, 2 Au 2.70
Cu  0.8512  0.8715  0.4261  4 Cu 2.44-2.65, 2 Ga 2.58
Cu  0.0000  0.5000  0.5000  4 Ga 2.53, 4 Cu 2.65
Cu  0.1488  0.5739  0.1285  4 Cu 2.44-2.65, 2 Ga 2.58
Cu  0.3701  0.0052  0.2545  5 Cu 2.44-2.63, 1 Ga 2.50, 2 Au 2.68
Cu  0.6299  0.9948  0.7455  5 Cu 2.44-2.63, 1 Ga 2.50, 2 Au 2.68
Cu  0.6299  0.7455  0.9948  5 Cu 2.44-2.63, 1 Ga 2.50, 2 Au 2.68
Au  0.7182  0.2818  0.2818  2 Ga 2.70, 6 Cu 2.80-2.98, 1 Au 2.86
Ga  0.5000  0.3413  0.6587  8 Cu 2.50-2.58, 2 Au 2.70
Cu  0.3701  0.2545  0.0052  5 Cu 2.44-2.63, 1 Ga 2.50, 2 Au 2.68
Cu  0.8512  0.4261  0.8715  4 Cu 2.44-2.65, 2 Ga 2.58

SG: Immm
energy of formation: 12 meV/atom


[7]
VASP calculation (GGA-PBE) on crystalline GaCuAu at its relaxed geometry.

Cell lengths 4.4970, 4.8591, 4.8591 Å; angles 119.44, 90.00, 90.00 degrees
Last column: nearest neighbours and their distance in Å.
Fractional positions:
Cu  0.7500  0.2195  0.4228  5 Ga 2.65-2.93, 5 Au 2.73-2.96, 2 Cu 2.85
Cu  0.2500  0.5772  0.7805  5 Ga 2.65-2.93, 5 Au 2.73-2.96, 2 Cu 2.85
Au  0.7500  0.8661  0.7242  5 Ga 2.72-2.89, 5 Cu 2.73-2.96, 2 Au 3.01
Au  0.2500  0.2758  0.1339  5 Ga 2.72-2.89, 5 Cu 2.73-2.96, 2 Au 3.01
Ga  0.7500  0.5487  0.0540  5 Cu 2.65-2.93, 5 Au 2.72-2.89
Ga  0.2500  0.9460  0.4513  5 Cu 2.65-2.93, 5 Au 2.72-2.89

SG: Ama2
polymorph energy (0 for the lowest one): 0.000 eV/atom
energy of formation: -122 meV/atom


[8]
VASP calculation (GGA-PBE) on crystalline Ga2Cu3Au2 at its relaxed geometry.

Cell lengths 3.0298, 5.5569, 6.6394 Å; angles 103.53, 90.08, 106.16 degrees
Last column: nearest neighbours and their distance in Å.
Fractional positions:
Ga  0.4082  0.8171  0.2553  5 Cu 2.54-2.63, 4 Au 2.76-2.78
Au  0.1268  0.2551  0.4144  3 Cu 2.73-2.76, 4 Ga 2.76-2.78, 4 Au 2.99-3.03
Cu  0.0000  0.0000  0.0000  4 Ga 2.63, 4 Cu 2.64-2.65, 2 Au 2.76
Cu  0.2933  0.5852  0.8733  3 Ga 2.54-2.60, 4 Cu 2.59-2.65, 2 Au 2.73
Cu  0.7067  0.4148  0.1267  3 Ga 2.54-2.60, 4 Cu 2.59-2.65, 2 Au 2.73
Au  0.8732  0.7449  0.5856  3 Cu 2.73-2.76, 4 Ga 2.76-2.78, 4 Au 2.99-3.03
Ga  0.5918  0.1829  0.7447  5 Cu 2.54-2.63, 4 Au 2.76-2.78

SG: P-1
polymorph energy (0 for the lowest one): 0.000 eV/atom
energy of formation: -79 meV/atom


[9]
VASP calculation (GGA-PBE) on crystalline GaCu7Au3 at its relaxed geometry.

Cell lengths 4.6115, 6.4977, 6.4977 Å; angles 91.30, 110.11, 110.11 degrees
Last column: nearest neighbours and their distance in Å.
Fractional positions:
Cu  0.3334  0.5821  0.0822  4 Cu 2.57-2.68, 4 Au 2.64-2.69, 1 Ga 2.68
Cu  0.6666  0.4179  0.9178  4 Cu 2.57-2.68, 4 Au 2.64-2.69, 1 Ga 2.68
Cu  0.1798  0.1938  0.1938  1 Ga 2.42, 2 Cu 2.57, 2 Au 2.61
Au  0.0000  0.7727  0.2273  9 Cu 2.53-2.69
Cu  0.6666  0.9178  0.4179  4 Cu 2.57-2.68, 4 Au 2.64-2.69, 1 Ga 2.68
Cu  0.8202  0.8062  0.8062  1 Ga 2.42, 2 Cu 2.57, 2 Au 2.61
Au  0.5000  0.0000  0.0000  8 Cu 2.68-2.80
Cu  0.3334  0.0822  0.5821  4 Cu 2.57-2.68, 4 Au 2.64-2.69, 1 Ga 2.68
Cu  0.0000  0.5000  0.5000  2 Ga 2.31, 2 Au 2.53
Au  0.0000  0.2273  0.7727  9 Cu 2.53-2.69
Ga  0.5000  0.5000  0.5000  4 Cu 2.31-2.42

SG: C2/m
energy of formation: 123 meV/atom


[10]
VASP calculation (GGA-PBE) on crystalline GaCuAu4 at its relaxed geometry.

Cell lengths 4.5756, 5.2555, 4.6458 Å; angles 90.00, 90.00, 115.80 degrees
Last column: nearest neighbours and their distance in Å.
Fractional positions:
Au  0.3454  0.6908  0.9999  2 Ga 2.72, 2 Cu 2.74-2.75, 5 Au 2.91-2.95
Au  0.1541  0.3083  0.5000  2 Cu 2.71, 2 Ga 2.74, 5 Au 2.92-2.95
Au  0.6546  0.3092  0.0001  2 Ga 2.72, 2 Cu 2.74-2.75, 5 Au 2.91-2.95
Ga  0.0000  0.0000  0.0000  8 Au 2.72-2.74
Cu  0.5000  0.0000  0.5000  8 Au 2.71-2.75
Au  0.8459  0.6917  0.5000  2 Cu 2.71, 2 Ga 2.74, 5 Au 2.92-2.95

SG: Cmmm
polymorph energy (0 for the lowest one): 0.000 eV/atom
energy of formation: -85 meV/atom


[11]
VASP calculation (GGA-PBE) on crystalline GaCuAu4 at its relaxed geometry.

Cell lengths 5.5439, 8.1731, 4.6901 Å; angles 90.00, 90.00, 90.00 degrees
Last column: nearest neighbours and their distance in Å.
Fractional positions:
Au  0.9156  0.6698  0.0000  2 Cu 2.69-2.74, 2 Ga 2.76, 5 Au 2.87-2.97
Au  0.0860  0.8359  0.5000  2 Ga 2.66-2.79, 2 Cu 2.74, 5 Au 2.85-2.97
Au  0.5844  0.1698  0.0000  2 Cu 2.69-2.74, 2 Ga 2.76, 5 Au 2.87-2.97
Cu  0.5000  0.5000  0.0000  8 Au 2.69-2.74
Cu  0.0000  0.0000  0.0000  8 Au 2.69-2.74
Ga  0.0000  0.5000  0.5000  8 Au 2.66-2.79
Au  0.5860  0.6641  0.5000  2 Ga 2.66-2.79, 2 Cu 2.74, 5 Au 2.85-2.97
Au  0.0844  0.3302  0.0000  2 Cu 2.69-2.74, 2 Ga 2.76, 5 Au 2.87-2.97
Au  0.4140  0.3359  0.5000  2 Ga 2.66-2.79, 2 Cu 2.74, 5 Au 2.85-2.97
Au  0.4156  0.8302  0.0000  2 Cu 2.69-2.74, 2 Ga 2.76, 5 Au 2.87-2.97
Ga  0.5000  0.0000  0.5000  8 Au 2.66-2.79
Au  0.9140  0.1641  0.5000  2 Ga 2.66-2.79, 2 Cu 2.74, 5 Au 2.85-2.97

SG: Pbam
polymorph energy (0 for the lowest one): 0.035 eV/atom
energy of formation: -50 meV/atom


[12]
VASP calculation (GGA-PBE) on crystalline GaCu4Au3 at its relaxed geometry.

Cell lengths 3.7651, 3.9837, 8.3521 Å; angles 103.87, 103.03, 90.00 degrees
Last column: nearest neighbours and their distance in Å.
Fractional positions:
Cu  0.7531  0.2522  0.5062  8 Cu 2.57-2.75, 4 Au 2.67-2.68
Ga  0.5000  0.0000  0.0000  8 Au 2.74-2.82, 4 Cu 2.92-2.93
Au  0.1334  0.1338  0.2668  8 Cu 2.67-2.74, 2 Ga 2.82, 2 Au 2.90
Cu  0.3644  0.3649  0.7287  4 Cu 2.57-2.72, 6 Au 2.74-2.85
Cu  0.2469  0.7478  0.4938  8 Cu 2.57-2.75, 4 Au 2.67-2.68
Cu  0.6356  0.6351  0.2713  4 Cu 2.57-2.72, 6 Au 2.74-2.85
Au  0.0000  0.5000  0.0000  4 Ga 2.74, 4 Cu 2.85, 4 Au 2.90
Au  0.8666  0.8662  0.7332  8 Cu 2.67-2.74, 2 Ga 2.82, 2 Au 2.90

SG: C2/m
polymorph energy (0 for the lowest one): 0.000 eV/atom
energy of formation: -68 meV/atom


- The lowest energy of formation belongs to which entry?
  number 5


- What is the formula in the eleventh record?
  GaCuAu4


- Look up the energy of formation of the second one.
  53 meV/atom